[1]
# PBE-GGA Sm2Ti2AlRh5, relaxed
# size of the total moment = 0.0 μB per formula unit
# DFT total energy = -72.11 eV/f.u.
data_Sm2Ti2AlRh5
_chemical_formula_sum 'Sm4 Ti4 Al2 Rh10'
_space_group_name_H-M_alt 'P 4/m b m'
_space_group_IT_number 127
_space_group_name_Hall '-P 4 2ab'
_cell_length_a 10.608
_cell_length_b 10.608
_cell_length_c 3.114
_cell_angle_alpha 90.00
_cell_angle_beta 90.00
_cell_angle_gamma 90.00
loop_
_atom_site_label
_atom_site_fract_x
_atom_site_fract_y
_atom_site_fract_z
Sm1 0.174 0.326 0.000
Ti1 0.134 0.634 0.000
Al1 0.000 0.000 0.000
Rh1 0.000 0.500 0.500
Rh2 0.051 0.806 0.500


[2]
# PBE-GGA CaCrGa, relaxed
# size of the total moment = 0.0 μB per formula unit
# DFT total energy = -14.11 eV/f.u.
data_CaCrGa
_chemical_formula_sum 'Ca2 Cr2 Ga2'
_space_group_name_H-M_alt 'P -1'
_space_group_IT_number 2
_space_group_name_Hall '-P 1'
_cell_length_a 3.560
_cell_length_b 4.403
_cell_length_c 7.969
_cell_angle_alpha 96.82
_cell_angle_beta 90.20
_cell_angle_gamma 90.09
loop_
_atom_site_label
_atom_site_fract_x
_atom_site_fract_y
_atom_site_fract_z
Ca1 0.002 0.293 0.247
Cr1 0.457 0.178 0.565
Ga1 0.494 0.230 0.906


[3]
# PBE-GGA BaIn2ReO, relaxed
# ΔE_f (raw) = 1.4 eV/f.u.
# size of the total moment = 2.6 μB per formula unit
# DFT total energy = -23.44 eV/f.u.
data_BaIn2ReO
_chemical_formula_sum 'Ba1 In2 Re1 O1'
_space_group_name_H-M_alt 'P 4/m m m'
_space_group_IT_number 123
_space_group_name_Hall '-P 4 2'
_cell_length_a 4.791
_cell_length_b 4.791
_cell_length_c 5.086
_cell_angle_alpha 90.00
_cell_angle_beta 90.00
_cell_angle_gamma 90.00
loop_
_atom_site_label
_atom_site_fract_x
_atom_site_fract_y
_atom_site_fract_z
Ba1 0.000 0.000 0.000
In1 0.000 0.500 0.500
Re1 0.500 0.500 0.000
O1 0.000 0.000 0.500


[4]
# PBE-GGA Na2CePbS4, relaxed
# ΔE_f (raw) = -10.3 eV/f.u.
# size of the total moment = 0.1 μB per formula unit
# DFT total energy = -39.08 eV/f.u.
data_Na2CePbS4
_chemical_formula_sum 'Na2 Ce1 Pb1 S4'
_space_group_name_H-M_alt 'P 1 2/m 1'
_space_group_IT_number 10
_space_group_name_Hall '-P 2y'
_cell_length_a 7.023
_cell_length_b 4.137
_cell_length_c 7.241
_cell_angle_alpha 90.00
_cell_angle_beta 109.51
_cell_angle_gamma 90.00
loop_
_atom_site_label
_atom_site_fract_x
_atom_site_fract_y
_atom_site_fract_z
Na1 0.000 0.000 0.000
Na2 0.000 0.500 0.500
Ce1 0.500 0.000 0.500
Pb1 0.500 0.500 0.000
S1 0.266 0.000 0.730
S2 0.270 0.500 0.273


[5]
# PBE-GGA BaGeAs6Rh2, relaxed
# size of the total moment = 0.0 μB per formula unit
# DFT total energy = -51.68 eV/f.u.
data_BaGeAs6Rh2
_chemical_formula_sum 'Ba3 Ge3 As18 Rh6'
_space_group_name_H-M_alt 'R -3 m'
_space_group_IT_number 166
_space_group_name_Hall '-R 3 2"'
_cell_length_a 6.4027
_cell_length_b 6.4027
_cell_length_c 22.4022
_cell_angle_alpha 90.00
_cell_angle_beta 90.00
_cell_angle_gamma 120.00
loop_
_atom_site_label
_atom_site_fract_x
_atom_site_fract_y
_atom_site_fract_z
Ba1 0.0000 0.0000 0.0000
Ge1 0.0000 0.0000 0.5000
As1 0.0190 0.5095 0.0749
Rh1 0.0000 0.0000 0.3304


- DFT total energy of number 5 (BaGeAs6Rh2)?
  -51.68 eV/f.u.


- size of the total moment of number 2 (CaCrGa)?
  0.0 μB per formula unit


- What is the formula in the fifth record?
  BaGeAs6Rh2


Repeat the first record exactly.
# PBE-GGA Sm2Ti2AlRh5, relaxed
# size of the total moment = 0.0 μB per formula unit
# DFT total energy = -72.11 eV/f.u.
data_Sm2Ti2AlRh5
_chemical_formula_sum 'Sm4 Ti4 Al2 Rh10'
_space_group_name_H-M_alt 'P 4/m b m'
_space_group_IT_number 127
_space_group_name_Hall '-P 4 2ab'
_cell_length_a 10.608
_cell_length_b 10.608
_cell_length_c 3.114
_cell_angle_alpha 90.00
_cell_angle_beta 90.00
_cell_angle_gamma 90.00
loop_
_atom_site_label
_atom_site_fract_x
_atom_site_fract_y
_atom_site_fract_z
Sm1 0.174 0.326 0.000
Ti1 0.134 0.634 0.000
Al1 0.000 0.000 0.000
Rh1 0.000 0.500 0.500
Rh2 0.051 0.806 0.500